The following is a DFT calculation (PBE-GGA) of a relaxed PaTl2CrSe4 crystal.

Cell and atoms, written as POSCAR:
```
PaTl2CrSe4
1.0
4.082 0.000 0.000
0.000 6.715 0.116
0.000 -2.530 7.957
Tl Cr Se Pa
2 1 4 1
Cartesian
0.000 2.092 4.036 Tl
2.041 -1.265 3.978 Tl
0.000 0.000 0.000 Cr
0.000 -0.309 6.387 Se
2.041 3.213 6.553 Se
2.041 0.971 1.520 Se
0.000 4.493 1.686 Se
2.041 3.357 0.058 Pa
```

V, Å³ per atom: 27.4
Space group: P2/m (10)
Uncorrected energy, eV per atom: -5.4798